Crystalline Dy4Ga2SeS at its relaxed geometry. Source: Alexandria, functional GGA-PBE.

Output
Its energy is -5.2257 eV/atom. The calculation puts the raw formation energy at -1216 meV/atom. The space group is P2/m. For the total magnetization, the calculation gives 0.0 μB per formula unit.

Lattice parameters (Å, degrees): 6.772 3.912 7.602 90.00 107.29 90.00
Atoms (fractional coordinates):
1 Dy 0.239 0.000 0.236
2 Dy 0.248 0.500 0.759
3 Dy 0.752 0.500 0.241
4 Dy 0.761 0.000 0.764
5 Ga 0.000 0.000 0.500
6 Ga 0.500 0.500 0.500
7 Se 0.500 0.000 0.000
8 S 0.000 0.500 0.000

=====

Crystalline Tb2Y2In at its relaxed geometry. Source: Alexandria, functional GGA-PBE.

Output
Its energy is -5.0362 eV/atom. The space group is P6_3/mmc. For the total magnetization, the calculation gives 0.0 μB per formula unit. The formation enthalpy at 0 K is -51 meV/atom. Its energy above the most stable polymorph in this dataset is 0.0 meV/atom.

Lattice parameters (Å, degrees): 5.426 5.426 12.153 90.00 90.00 120.00
Atoms (fractional coordinates):
1 Tb 0.000 0.000 0.000
2 Tb 0.000 0.000 0.500
3 Tb 0.333 0.667 0.250
4 Tb 0.667 0.333 0.750
5 Y 0.333 0.667 0.589
6 Y 0.333 0.667 0.911
7 Y 0.667 0.333 0.089
8 Y 0.667 0.333 0.411
9 In 0.000 0.000 0.250
10 In 0.000 0.000 0.750

=====

Crystalline Li2Ac2LaSi2 at its relaxed geometry. Source: Alexandria, functional GGA-PBE.

Output
Its energy is -4.3355 eV/atom. The calculation puts the raw formation energy at -361 meV/atom. The space group is R-3m. For the total magnetization, the calculation gives 0.5 μB per formula unit.

Lattice parameters (Å, degrees): 11.081 11.081 11.081 23.74 23.74 23.74
Atoms (fractional coordinates):
1 Li 0.116 0.116 0.116
2 Li 0.884 0.884 0.884
3 Ac 0.382 0.382 0.382
4 Ac 0.618 0.618 0.618
5 La 0.500 0.500 0.500
6 Si 0.224 0.224 0.224
7 Si 0.776 0.776 0.776

=====

Crystalline TbY4Er6 at its relaxed geometry. Source: Alexandria, functional GGA-PBE.

Output
Its energy is -4.9586 eV/atom. The space group is I-42m. For the total magnetization, the calculation gives 0.0 μB per formula unit. The formation enthalpy at 0 K is 302 meV/atom. Its energy above the most stable polymorph in this dataset is 0.0 meV/atom.

Lattice parameters (Å, degrees): 9.661 9.661 9.661 140.49 140.49 57.10
Atoms (fractional coordinates):
1 Tb 0.000 0.000 0.000
2 Y 0.013 0.013 0.374
3 Y 0.361 0.987 0.000
4 Y 0.639 0.639 0.626
5 Y 0.987 0.361 0.000
6 Er 0.000 0.500 0.500
7 Er 0.192 0.550 0.000
8 Er 0.450 0.450 0.643
9 Er 0.500 0.000 0.500
10 Er 0.550 0.192 0.000
11 Er 0.808 0.808 0.357

=====

Crystalline Mg4Cd2Pd at its relaxed geometry. Source: Alexandria, functional GGA-PBE.

Output
Its energy is -2.1484 eV/atom. The space group is Cmmm. For the total magnetization, the calculation gives 0.0 μB per formula unit. The formation enthalpy at 0 K is -234 meV/atom.

Lattice parameters (Å, degrees): 5.652 5.652 4.666 90.00 90.00 94.60
Atoms (fractional coordinates):
1 Mg 0.000 0.500 0.500
2 Mg 0.187 0.813 0.000
3 Mg 0.500 0.000 0.500
4 Mg 0.813 0.187 0.000
5 Cd 0.312 0.312 0.000
6 Cd 0.688 0.688 0.000
7 Pd 0.000 0.000 0.500

=====

Crystalline NpSb2Pt at its relaxed geometry. Source: Alexandria, functional GGA-PBE.

Output
Its energy is -7.0994 eV/atom. The calculation puts the raw formation energy at -293 meV/atom. The space group is P4/mmm. For the total magnetization, the calculation gives 3.6 μB per formula unit.

Lattice parameters (Å, degrees): 4.697 4.697 4.021 90.00 90.00 90.00
Atoms (fractional coordinates):
1 Np 0.000 0.000 0.000
2 Sb 0.000 0.500 0.500
3 Sb 0.500 0.000 0.500
4 Pt 0.500 0.500 0.000

=====

Crystalline Mn2FeCoH at its relaxed geometry. Source: Alexandria, functional GGA-PBE.

Output
Its energy is -7.3924 eV/atom. The space group is P4/mmm. For the total magnetization, the calculation gives 1.2 μB per formula unit. Its energy above the most stable polymorph in this dataset is 15.7 meV/atom.

Lattice parameters (Å, degrees): 3.565 3.565 3.599 90.00 90.00 90.00
Atoms (fractional coordinates):
1 Mn 0.000 0.500 0.000
2 Mn 0.500 0.000 0.000
3 Fe 0.000 0.000 0.500
4 Co 0.500 0.500 0.500
5 H 0.000 0.000 0.000

=====

Crystalline ReMoSN2 at its relaxed geometry. Source: Alexandria, functional GGA-PBE.

Output
Its energy is -8.0202 eV/atom. The calculation puts the raw formation energy at 791 meV/atom. The space group is P4/mmm. For the total magnetization, the calculation gives 3.2 μB per formula unit. Its energy above the most stable polymorph in this dataset is 0.0 meV/atom.

Lattice parameters (Å, degrees): 3.819 3.819 5.099 90.00 90.00 90.00
Atoms (fractional coordinates):
1 Re 0.000 0.000 0.000
2 Mo 0.500 0.500 0.500
3 S 0.000 0.000 0.500
4 N 0.000 0.500 0.000
5 N 0.500 0.000 0.000

=====

Crystalline SbTe2PbW at its relaxed geometry. Source: Alexandria, functional GGA-PBE.

Output
Its energy is -3.7508 eV/atom. The calculation puts the raw formation energy at 1663 meV/atom. The space group is P4/mmm. For the total magnetization, the calculation gives 4.4 μB per formula unit. Its energy above the most stable polymorph in this dataset is 1106.1 meV/atom.

Lattice parameters (Å, degrees): 5.725 5.725 5.759 90.00 90.00 90.00
Atoms (fractional coordinates):
1 Sb 0.000 0.000 0.000
2 Te 0.000 0.500 0.000
3 Te 0.500 0.000 0.000
4 Pb 0.000 0.000 0.500
5 W 0.500 0.500 0.500

=====

Crystalline YSe2IN at its relaxed geometry. Source: Alexandria, functional GGA-PBE.

Output
Its energy is -4.1988 eV/atom. The calculation puts the raw formation energy at 463 meV/atom. The space group is P4/mmm. For the total magnetization, the calculation gives 0.0 μB per formula unit. Its energy above the most stable polymorph in this dataset is 151.8 meV/atom.

Lattice parameters (Å, degrees): 5.509 5.509 3.987 90.00 90.00 90.00
Atoms (fractional coordinates):
1 Y 0.000 0.000 0.000
2 Se 0.000 0.500 0.500
3 Se 0.500 0.000 0.500
4 I 0.500 0.500 0.500
5 N 0.500 0.500 0.000

=====

Crystalline K4LaNp3Te8 at its relaxed geometry. Source: Alexandria, functional GGA-PBE.

Output
Its energy is -5.6183 eV/atom. The calculation puts the raw formation energy at -1039 meV/atom. The space group is R-3m. For the total magnetization, the calculation gives 12.0 μB per formula unit.

Lattice parameters (Å, degrees): 9.776 9.776 9.776 56.28 56.28 56.28
Atoms (fractional coordinates):
1 K 0.000 0.000 0.000
2 K 0.000 0.500 0.500
3 K 0.500 0.000 0.500
4 K 0.500 0.500 0.000
5 La 0.500 0.500 0.500
6 Np 0.000 0.000 0.500
7 Np 0.000 0.500 0.000
8 Np 0.500 0.000 0.000
9 Te 0.231 0.741 0.741
10 Te 0.236 0.236 0.236
11 Te 0.259 0.259 0.769
12 Te 0.259 0.769 0.259
13 Te 0.741 0.231 0.741
14 Te 0.741 0.741 0.231
15 Te 0.764 0.764 0.764
16 Te 0.769 0.259 0.259

=====

Crystalline GaBH at its relaxed geometry. Source: Alexandria, functional GGA-PBE.

Output
Its energy is -4.2365 eV/atom. The space group is P-1. For the total magnetization, the calculation gives 0.0 μB per formula unit.

Lattice parameters (Å, degrees): 3.068 4.248 5.856 108.61 104.82 90.56
Atoms (fractional coordinates):
1 Ga 0.070 0.313 0.140
2 Ga 0.930 0.687 0.860
3 B 0.269 0.437 0.542
4 B 0.731 0.563 0.458
5 H 0.293 0.184 0.596
6 H 0.707 0.816 0.404

=====

- What is the energy in the first record?
  -5.2257 eV/atom

=====

- Among the records above, which one has the highest energy?
  Mg4Cd2Pd